# 1
# La3Tb5Pm2, optimized geometry, DFT PBE
data_La3Tb5Pm2
_chemical_formula_sum 'La6 Tb10 Pm4'
_symmetry_space_group_name_H-M 'P 1'
_symmetry_Int_Tables_number 1
_cell_length_a 9.621
_cell_length_b 9.624
_cell_length_c 11.512
_cell_angle_alpha 126.76
_cell_angle_beta 126.72
_cell_angle_gamma 64.90
loop_
_symmetry_equiv_pos_as_xyz
'x,y,z'
loop_
_atom_site_label
_atom_site_type_symbol
_atom_site_fract_x
_atom_site_fract_y
_atom_site_fract_z
La1 La 0.273 0.026 0.948
La2 La 0.077 0.822 0.350
La3 La 0.923 0.178 0.650
La4 La 0.727 0.974 0.052
La5 La 0.326 0.574 0.849
La6 La 0.674 0.426 0.151
Tb1 Tb 0.875 0.626 0.749
Tb2 Tb 0.526 0.777 0.451
Tb3 Tb 0.224 0.477 0.052
Tb4 Tb 0.125 0.374 0.251
Tb5 Tb 0.776 0.523 0.948
Tb6 Tb 0.028 0.277 0.451
Tb7 Tb 0.972 0.723 0.549
Tb8 Tb 0.623 0.875 0.251
Tb9 Tb 0.474 0.223 0.549
Tb10 Tb 0.377 0.125 0.749
Pm1 Pm 0.823 0.075 0.848
Pm2 Pm 0.177 0.925 0.152
Pm3 Pm 0.427 0.672 0.648
Pm4 Pm 0.573 0.328 0.352
# SG = P-1, No. 2
# Theoretical density = 7.3 g cm⁻³
# Energy relative to the elements = 24 meV per atom
# Calculated volume = 34.0 A^3/atom

# 2
# Rb2PrUS6, optimized geometry, DFT PBE
data_Rb2PrUS6
_chemical_formula_sum 'Rb4 Pr2 U2 S12'
_symmetry_space_group_name_H-M 'P 1'
_symmetry_Int_Tables_number 1
_cell_length_a 7.575
_cell_length_b 7.575
_cell_length_c 10.711
_cell_angle_alpha 90.00
_cell_angle_beta 89.99
_cell_angle_gamma 90.00
loop_
_symmetry_equiv_pos_as_xyz
'x,y,z'
loop_
_atom_site_label
_atom_site_type_symbol
_atom_site_fract_x
_atom_site_fract_y
_atom_site_fract_z
Pr1 Pr 0.000 0.500 0.500
Pr2 Pr 0.500 0.000 0.000
S1 S 0.996 0.500 0.237
S2 S 0.504 0.000 0.263
S3 S 0.239 0.735 0.002
S4 S 0.735 0.239 0.502
S5 S 0.765 0.739 0.998
S6 S 0.761 0.265 0.998
S7 S 0.004 0.500 0.763
S8 S 0.261 0.235 0.498
S9 S 0.265 0.761 0.498
S10 S 0.496 0.000 0.737
S11 S 0.235 0.261 0.002
S12 S 0.739 0.765 0.502
Rb1 Rb 0.000 0.000 0.750
Rb2 Rb 0.500 0.500 0.750
Rb3 Rb 0.000 0.000 0.250
Rb4 Rb 0.500 0.500 0.250
U1 U 0.500 0.000 0.500
U2 U 0.000 0.500 0.000
# SG = P2_1/c, No. 14
# Theoretical density = 4.0 g cm⁻³
# Raw formation energy = -1.322 eV per atom
# Calculated volume = 30.7 A^3/atom

# 3
# BaAs2Ir, optimized geometry, DFT PBE
data_BaAs2Ir
_chemical_formula_sum 'Ba1 As2 Ir1'
_symmetry_space_group_name_H-M 'P 1'
_symmetry_Int_Tables_number 1
_cell_length_a 3.548
_cell_length_b 3.548
_cell_length_c 7.334
_cell_angle_alpha 90.00
_cell_angle_beta 90.00
_cell_angle_gamma 90.00
loop_
_symmetry_equiv_pos_as_xyz
'x,y,z'
loop_
_atom_site_label
_atom_site_type_symbol
_atom_site_fract_x
_atom_site_fract_y
_atom_site_fract_z
Ba1 Ba 0.000 0.000 0.498
Ir1 Ir 0.500 0.500 0.852
As1 As 0.000 0.000 0.956
As2 As 0.500 0.500 0.194
# SG = P4mm, No. 99
# Theoretical density = 8.6 g cm⁻³
# Energy relative to the elements = -78 meV per atom
# Calculated volume = 23.1 A^3/atom

# 4
# CuPtAu2, optimized geometry, DFT PBE
data_CuPtAu2
_chemical_formula_sum 'Cu1 Pt1 Au2'
_symmetry_space_group_name_H-M 'P 1'
_symmetry_Int_Tables_number 1
_cell_length_a 4.002
_cell_length_b 4.005
_cell_length_c 4.005
_cell_angle_alpha 90.00
_cell_angle_beta 90.00
_cell_angle_gamma 90.00
loop_
_symmetry_equiv_pos_as_xyz
'x,y,z'
loop_
_atom_site_label
_atom_site_type_symbol
_atom_site_fract_x
_atom_site_fract_y
_atom_site_fract_z
Au1 Au 0.000 0.000 0.000
Au2 Au 0.000 0.500 0.500
Pt1 Pt 0.500 0.000 0.500
Cu1 Cu 0.500 0.500 0.000
# Polymorph energy (0 for the lowest one) = 19 meV/atom
# SG = P4/mmm, No. 123
# Theoretical density = 16.9 g cm⁻³
# Energy relative to the elements = -28 meV per atom
# Calculated volume = 16.0 A^3/atom

# 5
# Pr3Si2GeRh9, optimized geometry, DFT PBE
data_Pr3Si2GeRh9
_chemical_formula_sum 'Pr3 Si2 Ge1 Rh9'
_symmetry_space_group_name_H-M 'P 1'
_symmetry_Int_Tables_number 1
_cell_length_a 6.443
_cell_length_b 6.443
_cell_length_c 7.851
_cell_angle_alpha 90.00
_cell_angle_beta 90.00
_cell_angle_gamma 120.00
loop_
_symmetry_equiv_pos_as_xyz
'x,y,z'
loop_
_atom_site_label
_atom_site_type_symbol
_atom_site_fract_x
_atom_site_fract_y
_atom_site_fract_z
Pr1 Pr 0.333 0.667 0.666
Pr2 Pr 0.000 0.000 0.000
Pr3 Pr 0.667 0.333 0.334
Rh1 Rh 0.500 0.000 0.000
Rh2 Rh 0.656 0.828 0.331
Rh3 Rh 0.500 0.500 0.000
Rh4 Rh 0.828 0.172 0.669
Rh5 Rh 0.828 0.656 0.669
Rh6 Rh 0.344 0.172 0.669
Rh7 Rh 0.172 0.344 0.331
Rh8 Rh 0.000 0.500 0.000
Rh9 Rh 0.172 0.828 0.331
Si1 Si 0.333 0.667 0.160
Si2 Si 0.667 0.333 0.840
Ge1 Ge 0.000 0.000 0.500
# SG = P-3m1, No. 164
# Theoretical density = 8.7 g cm⁻³
# Raw formation energy = -0.570 eV per atom
# Calculated volume = 18.8 A^3/atom

# 6
# Hf2CdCl, optimized geometry, DFT PBE
data_Hf2CdCl
_chemical_formula_sum 'Hf2 Cd1 Cl1'
_symmetry_space_group_name_H-M 'P 1'
_symmetry_Int_Tables_number 1
_cell_length_a 4.863
_cell_length_b 4.863
_cell_length_c 4.863
_cell_angle_alpha 60.00
_cell_angle_beta 60.00
_cell_angle_gamma 60.00
loop_
_symmetry_equiv_pos_as_xyz
'x,y,z'
loop_
_atom_site_label
_atom_site_type_symbol
_atom_site_fract_x
_atom_site_fract_y
_atom_site_fract_z
Cl1 Cl 0.000 0.000 0.000
Hf1 Hf 0.750 0.750 0.750
Hf2 Hf 0.250 0.250 0.250
Cd1 Cd 0.500 0.500 0.500
# Polymorph energy (0 for the lowest one) = 0 meV/atom
# SG = Fm-3m, No. 225
# Theoretical density = 10.3 g cm⁻³
# Raw formation energy = 0.111 eV per atom
# Calculated volume = 20.3 A^3/atom

theoretical density of number 3 (BaAs2Ir)? 8.6 g cm⁻³